# 1
Material: CsLaTl2Ru
Method: DFT, GGA-PBE
State: optimized geometry

The energy of formation comes out at -0.081 eV per atom.

Cell lengths 5.5855, 5.5855, 5.2585 Å; angles 90.00, 90.00, 90.00 degrees
Positions (direct):
Cs 0.0000 0.0000 0.0000
La 0.5000 0.5000 0.0000
Tl 0.0000 0.5000 0.5000
Tl 0.5000 0.0000 0.5000
Ru 0.5000 0.5000 0.5000



# 2
Material: NdGdThIn
Method: DFT, GGA-PBE
State: optimized geometry

The energy of formation comes out at -0.043 eV per atom.

Cell lengths 7.8287, 7.8287, 7.8287 Å; angles 90.00, 90.00, 90.00 degrees
Positions (direct):
Nd 0.0000 0.0000 0.0000
Nd 0.0000 0.5000 0.5000
Nd 0.5000 0.0000 0.5000
Nd 0.5000 0.5000 0.0000
Gd 0.0000 0.0000 0.5000
Gd 0.0000 0.5000 0.0000
Gd 0.5000 0.0000 0.0000
Gd 0.5000 0.5000 0.5000
Th 0.2500 0.2500 0.2500
Th 0.2500 0.7500 0.7500
Th 0.7500 0.2500 0.7500
Th 0.7500 0.7500 0.2500
In 0.2500 0.2500 0.7500
In 0.2500 0.7500 0.2500
In 0.7500 0.2500 0.2500
In 0.7500 0.7500 0.7500



# 3
Material: K3H5F12
Method: DFT, GGA-PBE
State: optimized geometry

As for the total energy: -247.454 eV for the cell shown.

Cell lengths 10.4113, 10.4113, 10.4113 Å; angles 109.47, 109.47, 109.47 degrees
Positions (direct):
K 0.1250 0.2500 0.3750
K 0.1250 0.3750 0.7500
K 0.2500 0.3750 0.1250
K 0.2500 0.8750 0.6250
K 0.3750 0.1250 0.2500
K 0.3750 0.7500 0.1250
K 0.6250 0.2500 0.8750
K 0.6250 0.8750 0.7500
K 0.7500 0.1250 0.3750
K 0.7500 0.6250 0.8750
K 0.8750 0.6250 0.2500
K 0.8750 0.7500 0.6250
H 0.0000 0.0000 0.0000
H 0.0000 0.0000 0.5000
H 0.0000 0.5000 0.0000
H 0.0000 0.5000 0.5000
H 0.1250 0.7500 0.8750
H 0.1250 0.8750 0.2500
H 0.2500 0.1250 0.8750
H 0.2500 0.6250 0.3750
H 0.3750 0.2500 0.6250
H 0.3750 0.6250 0.7500
H 0.5000 0.0000 0.0000
H 0.5000 0.0000 0.5000
H 0.5000 0.5000 0.0000
H 0.5000 0.5000 0.5000
H 0.6250 0.3750 0.2500
H 0.6250 0.7500 0.3750
H 0.7500 0.3750 0.6250
H 0.7500 0.8750 0.1250
H 0.8750 0.1250 0.7500
H 0.8750 0.2500 0.1250
F 0.0257 0.7019 0.1207
F 0.0257 0.8238 0.9050
F 0.0812 0.6762 0.7019
F 0.0812 0.9050 0.3793
F 0.0950 0.6207 0.9188
F 0.0950 0.9743 0.1762
F 0.1207 0.0257 0.7019
F 0.1207 0.5950 0.4188
F 0.1762 0.0950 0.9743
F 0.1762 0.5812 0.2019
F 0.2019 0.1762 0.5812
F 0.2019 0.5257 0.6207
F 0.2981 0.8793 0.9743
F 0.2981 0.9188 0.3238
F 0.3238 0.2981 0.9188
F 0.3238 0.5257 0.4050
F 0.3793 0.0812 0.9050
F 0.3793 0.7981 0.4743
F 0.4050 0.3238 0.5257
F 0.4050 0.5812 0.8793
F 0.4188 0.1207 0.5950
F 0.4188 0.7981 0.8238
F 0.4743 0.3793 0.7981
F 0.4743 0.5950 0.6762
F 0.5257 0.4050 0.3238
F 0.5257 0.6207 0.2019
F 0.5812 0.2019 0.1762
F 0.5812 0.8793 0.4050
F 0.5950 0.4188 0.1207
F 0.5950 0.6762 0.4743
F 0.6207 0.2019 0.5257
F 0.6207 0.9188 0.0950
F 0.6762 0.4743 0.5950
F 0.6762 0.7019 0.0812
F 0.7019 0.0812 0.6762
F 0.7019 0.1207 0.0257
F 0.7981 0.4743 0.3793
F 0.7981 0.8238 0.4188
F 0.8238 0.4188 0.7981
F 0.8238 0.9050 0.0257
F 0.8793 0.4050 0.5812
F 0.8793 0.9743 0.2981
F 0.9050 0.0257 0.8238
F 0.9050 0.3793 0.0812
F 0.9188 0.0950 0.6207
F 0.9188 0.3238 0.2981
F 0.9743 0.1762 0.0950
F 0.9743 0.2981 0.8793



# 4
Material: DyZr2Ga6
Method: DFT, GGA-PBE
State: optimized geometry

The value obtained for the offset from the most stable computed form is 0.095 eV per atom. The energy of formation comes out at -0.429 eV per atom.

Cell lengths 7.6032, 7.6032, 7.6032 Å; angles 148.26, 127.33, 62.82 degrees
Positions (direct):
Dy 0.0000 0.0000 0.0000
Zr 0.3802 0.8802 0.5000
Zr 0.6198 0.1198 0.5000
Ga 0.0135 0.3104 0.7032
Ga 0.3118 0.5000 0.8118
Ga 0.3928 0.6896 0.7032
Ga 0.6072 0.3104 0.2968
Ga 0.6882 0.5000 0.1882
Ga 0.9865 0.6896 0.2968



# 5
Material: InAs2Pd
Method: DFT, GGA-PBE
State: optimized geometry

The energy of formation comes out at -0.061 eV per atom.

Cell lengths 5.6492, 5.6492, 12.9080 Å; angles 90.00, 90.00, 90.00 degrees
Positions (direct):
In 0.0000 0.0000 0.0000
In 0.0000 0.5000 0.2500
In 0.5000 0.0000 0.7500
In 0.5000 0.5000 0.5000
As 0.2047 0.2500 0.6250
As 0.2500 0.7047 0.8750
As 0.2500 0.7953 0.3750
As 0.2953 0.2500 0.1250
As 0.7047 0.7500 0.1250
As 0.7500 0.2047 0.3750
As 0.7500 0.2953 0.8750
As 0.7953 0.7500 0.6250
Pd 0.0000 0.0000 0.5000
Pd 0.0000 0.5000 0.7500
Pd 0.5000 0.0000 0.2500
Pd 0.5000 0.5000 0.0000



# 6
Material: NaSbPt
Method: DFT, GGA-PBE
State: optimized geometry

For the uncorrected formation energy, the calculation gives -0.34 eV/atom.

Cell lengths 6.4539, 6.4539, 6.4539 Å; angles 90.00, 90.00, 90.00 degrees
Positions (direct):
Na 0.0000 0.0000 0.0000
Na 0.0000 0.5000 0.5000
Na 0.5000 0.0000 0.5000
Na 0.5000 0.5000 0.0000
Sb 0.0000 0.0000 0.5000
Sb 0.0000 0.5000 0.0000
Sb 0.5000 0.0000 0.0000
Sb 0.5000 0.5000 0.5000
Pt 0.2500 0.2500 0.2500
Pt 0.2500 0.7500 0.7500
Pt 0.7500 0.2500 0.7500
Pt 0.7500 0.7500 0.2500



# 7
Material: K3Rb3ZnBr8
Method: DFT, GGA-PBE
State: optimized geometry

For the uncorrected formation energy, the calculation gives -1.54 eV/atom.

Cell lengths 9.5854, 9.5854, 9.5854 Å; angles 58.90, 58.90, 58.90 degrees
Positions (direct):
K 0.0000 0.5000 0.5000
K 0.5000 0.0000 0.5000
K 0.5000 0.5000 0.0000
Rb 0.0000 0.0000 0.5000
Rb 0.0000 0.5000 0.0000
Rb 0.5000 0.0000 0.0000
Zn 0.0000 0.0000 0.0000
Br 0.2025 0.2025 0.7912
Br 0.2025 0.7912 0.2025
Br 0.2088 0.7975 0.7975
Br 0.2542 0.2542 0.2542
Br 0.7458 0.7458 0.7458
Br 0.7912 0.2025 0.2025
Br 0.7975 0.2088 0.7975
Br 0.7975 0.7975 0.2088



# 8
Material: MnGa4Co
Method: DFT, GGA-PBE
State: optimized geometry

The energy of formation comes out at -0.061 eV per atom.

Cell lengths 4.5767, 3.1495, 6.3423 Å; angles 90.00, 96.18, 90.00 degrees
Positions (direct):
Mn 0.0000 0.0000 0.0000
Ga 0.0901 0.5000 0.6942
Ga 0.4163 0.0000 0.3005
Ga 0.5837 0.0000 0.6995
Ga 0.9099 0.5000 0.3058
Co 0.5000 0.5000 0.0000



# 9
Material: RbScSn
Method: DFT, GGA-PBE
State: optimized geometry

The value obtained for the offset from the most stable computed form is 0.133 eV per atom. The energy of formation comes out at -0.216 eV per atom.

Cell lengths 7.2241, 7.2244, 9.2366 Å; angles 90.00, 112.93, 90.00 degrees
Positions (direct):
Rb 0.1794 0.0000 0.3598
Rb 0.3206 0.5000 0.6402
Rb 0.6794 0.5000 0.3598
Rb 0.8206 0.0000 0.6402
Sc 0.2500 0.2500 0.0000
Sc 0.2500 0.7500 0.0000
Sc 0.7500 0.2500 0.0000
Sc 0.7500 0.7500 0.0000
Sn 0.0914 0.5000 0.1838
Sn 0.4086 0.0000 0.8162
Sn 0.5914 0.0000 0.1838
Sn 0.9086 0.5000 0.8162



# 10
Material: TbGdTlOs
Method: DFT, GGA-PBE
State: optimized geometry

The energy of formation comes out at -0.126 eV per atom.

Cell lengths 7.2123, 7.2123, 7.2123 Å; angles 90.00, 90.00, 90.00 degrees
Positions (direct):
Tb 0.0000 0.0000 0.0000
Tb 0.0000 0.5000 0.5000
Tb 0.5000 0.0000 0.5000
Tb 0.5000 0.5000 0.0000
Gd 0.0000 0.0000 0.5000
Gd 0.0000 0.5000 0.0000
Gd 0.5000 0.0000 0.0000
Gd 0.5000 0.5000 0.5000
Tl 0.2500 0.2500 0.2500
Tl 0.2500 0.7500 0.7500
Tl 0.7500 0.2500 0.7500
Tl 0.7500 0.7500 0.2500
Os 0.2500 0.2500 0.7500
Os 0.2500 0.7500 0.2500
Os 0.7500 0.2500 0.2500
Os 0.7500 0.7500 0.7500



# 11
Material: SmHRh
Method: DFT, GGA-PBE
State: optimized geometry

The value obtained for the offset from the most stable computed form is 0.031 eV per atom.

Cell lengths 4.2843, 4.2843, 6.7645 Å; angles 90.00, 90.00, 120.00 degrees
Positions (direct):
Sm 0.3333 0.6667 0.2500
Sm 0.6667 0.3333 0.7500
H 0.0000 0.0000 0.2500
H 0.0000 0.0000 0.7500
Rh 0.0000 0.0000 0.0000
Rh 0.0000 0.0000 0.5000



# 12
Material: Sr2Be2RuO6
Method: DFT, GGA-PBE
State: optimized geometry

For the uncorrected formation energy, the calculation gives -2.21 eV/atom.

Cell lengths 6.0952, 6.0952, 6.0952 Å; angles 52.46, 52.46, 52.46 degrees
Positions (direct):
Sr 0.2191 0.2191 0.2191
Sr 0.7809 0.7809 0.7809
Be 0.4131 0.4131 0.4131
Be 0.5869 0.5869 0.5869
Ru 0.0000 0.0000 0.0000
O 0.2493 0.2493 0.7426
O 0.2493 0.7426 0.2493
O 0.2574 0.7507 0.7507
O 0.7426 0.2493 0.2493
O 0.7507 0.2574 0.7507
O 0.7507 0.7507 0.2574



# 13
Material: Li4CaLa
Method: DFT, GGA-PBE
State: optimized geometry

The energy of formation comes out at 0.063 eV per atom.

Cell lengths 6.1049, 6.1049, 6.1049 Å; angles 60.00, 60.00, 60.00 degrees
Positions (direct):
Li 0.3756 0.3756 0.3756
Li 0.3756 0.3756 0.8731
Li 0.3756 0.8731 0.3756
Li 0.8731 0.3756 0.3756
Ca 0.7500 0.7500 0.7500
La 0.0000 0.0000 0.0000



# 14
Material: LaSm4Dy
Method: DFT, GGA-PBE
State: optimized geometry

The value obtained for the offset from the most stable computed form is 0.000 eV per atom. The energy of formation comes out at 0.019 eV per atom.

Cell lengths 12.0480, 3.6420, 10.2575 Å; angles 90.00, 115.06, 90.00 degrees
Positions (direct):
La 0.0000 0.0000 0.0000
La 0.5000 0.5000 0.0000
Sm 0.1663 0.5000 0.8301
Sm 0.1674 0.5000 0.3368
Sm 0.3326 0.0000 0.6632
Sm 0.3337 0.0000 0.1699
Sm 0.6663 0.0000 0.8301
Sm 0.6674 0.0000 0.3368
Sm 0.8326 0.5000 0.6632
Sm 0.8337 0.5000 0.1699
Dy 0.0000 0.0000 0.5000
Dy 0.5000 0.5000 0.5000



# 15
Material: Ac2Pr8Y
Method: DFT, GGA-PBE
State: optimized geometry

The value obtained for the offset from the most stable computed form is 0.000 eV per atom. The energy of formation comes out at 0.022 eV per atom.

Cell lengths 9.9141, 9.9141, 8.3920 Å; angles 104.83, 104.83, 31.18 degrees
Positions (direct):
Ac 0.2260 0.2260 0.1400
Ac 0.7740 0.7740 0.8600
Pr 0.0429 0.0429 0.2287
Pr 0.1336 0.1336 0.6723
Pr 0.3214 0.3214 0.5928
Pr 0.4121 0.4121 0.0511
Pr 0.5879 0.5879 0.9489
Pr 0.6786 0.6786 0.4072
Pr 0.8664 0.8664 0.3277
Pr 0.9571 0.9571 0.7713
Y 0.5000 0.5000 0.5000



# 16
Material: Nd4Te2PPb
Method: DFT, GGA-PBE
State: optimized geometry

For the uncorrected formation energy, the calculation gives -1.27 eV/atom.

Cell lengths 7.6857, 4.4161, 7.7624 Å; angles 90.00, 109.09, 90.00 degrees
Positions (direct):
Nd 0.2282 0.0000 0.2230
Nd 0.2419 0.5000 0.7657
Nd 0.7581 0.5000 0.2343
Nd 0.7718 0.0000 0.7770
Te 0.0000 0.0000 0.5000
Te 0.5000 0.5000 0.5000
P 0.0000 0.5000 0.0000
Pb 0.5000 0.0000 0.0000



# 17
Material: YIn3Pd12
Method: DFT, GGA-PBE
State: optimized geometry

The energy of formation comes out at -0.534 eV per atom.

Cell lengths 4.0711, 4.0711, 16.2649 Å; angles 90.00, 90.00, 90.00 degrees
Positions (direct):
Y 0.0000 0.0000 0.0000
In 0.0000 0.0000 0.2548
In 0.0000 0.0000 0.5000
In 0.0000 0.0000 0.7452
Pd 0.0000 0.5000 0.1301
Pd 0.0000 0.5000 0.3768
Pd 0.0000 0.5000 0.6232
Pd 0.0000 0.5000 0.8699
Pd 0.5000 0.0000 0.1301
Pd 0.5000 0.0000 0.3768
Pd 0.5000 0.0000 0.6232
Pd 0.5000 0.0000 0.8699
Pd 0.5000 0.5000 0.0000
Pd 0.5000 0.5000 0.2523
Pd 0.5000 0.5000 0.5000
Pd 0.5000 0.5000 0.7477



# 18
Material: LaEr2Ga4
Method: DFT, GGA-PBE
State: optimized geometry

The energy of formation comes out at -0.653 eV per atom.

Cell lengths 4.1771, 4.3563, 18.2655 Å; angles 90.00, 90.00, 90.00 degrees
Positions (direct):
La 0.0000 0.0000 0.0000
La 0.5000 0.5000 0.5000
Er 0.0000 0.5000 0.3148
Er 0.0000 0.5000 0.6852
Er 0.5000 0.0000 0.1852
Er 0.5000 0.0000 0.8148
Ga 0.0000 0.0000 0.4308
Ga 0.0000 0.0000 0.5692
Ga 0.0000 0.5000 0.1499
Ga 0.0000 0.5000 0.8501
Ga 0.5000 0.0000 0.3501
Ga 0.5000 0.0000 0.6499
Ga 0.5000 0.5000 0.0692
Ga 0.5000 0.5000 0.9308



# 19
Material: AgMoIr
Method: DFT, GGA-PBE
State: optimized geometry

The value obtained for the offset from the most stable computed form is 0.207 eV per atom. The energy of formation comes out at 0.328 eV per atom.

Cell lengths 3.2123, 3.2123, 9.5416 Å; angles 90.00, 90.00, 90.00 degrees
Positions (direct):
Ag 0.0000 0.0000 0.0000
Ag 0.5000 0.5000 0.5000
Mo 0.0000 0.0000 0.6877
Mo 0.5000 0.5000 0.1877
Ir 0.0000 0.0000 0.3195
Ir 0.5000 0.5000 0.8195